Version A
{"formula": "CaPtS2Cl", "functional": "PBE-GGA", "state": "optimized geometry", "lattice_angstrom": [[-1.8052, 2.1938, 3.8546], [2.8742, -2.5908, 2.8206], [3.4307, 3.4299, -0.3454]], "species": ["Ca", "Pt", "S", "Cl", "S"], "frac_coords": [[0.5000, 0.5000, 0.5000], [0.0000, 0.0000, 0.0000], [0.5000, 0.0000, 0.0000], [0.0000, 0.0000, 0.5000], [0.0000, 0.5000, 0.0000]]}



Version B
{"formula": "CaPtS2Cl", "functional": "PBE-GGA", "state": "optimized geometry", "lattice_angstrom": [[5.3104, 0.0000, 0.0000], [0.0000, 5.3104, 0.0000], [0.0000, 0.0000, 5.0300]], "species": ["Ca", "S", "Pt", "S", "Cl"], "frac_coords": [[0.0000, 0.0000, 0.0000], [0.0000, 0.5000, 0.0000], [0.5000, 0.5000, 0.5000], [0.5000, 0.0000, 0.0000], [0.0000, 0.0000, 0.5000]]}



Comparing the structures above, version A comes out on top by 1068 meV/atom.